Material: TcBi3As
Method: DFT, PBE
State: relaxed

Unit cell a=5.266 b=5.266 c=5.266 alpha=90.00 beta=90.00 gamma=90.00
Element x y z (fractional)
Tc1 0.000 0.000 0.000
Bi1 0.000 0.000 0.500
Bi2 0.000 0.500 0.000
Bi3 0.500 0.000 0.000
As1 0.500 0.500 0.500

Energy relative to the lowest polymorph listed for this composition, meV per atom: 0
Energy of formation, kcal/mol of atoms: 14.2

Material: TcBiAsW2
Method: DFT, PBE
State: relaxed

Unit cell a=4.618 b=4.618 c=5.368 alpha=90.00 beta=90.00 gamma=90.00
Element x y z (fractional)
Tc1 0.000 0.000 0.000
Bi1 0.500 0.500 0.000
As1 0.500 0.500 0.500
W1 0.000 0.500 0.500
W2 0.500 0.000 0.500

Energy of formation, kcal/mol of atoms: 44.9

| no. | size of the total moment (μB/f.u.) |
| --- | --- |
| 1 | 0.0 |
| 2 | 2.8 |